Record 1
Crystalline PmCdBi2 at its relaxed geometry. Source: Alexandria via LeMat-Bulk, functional GGA-PBE.

Values from the calculation:
Fermi-level density of states (states/eV per cell): 2.91
Excess energy over the best structure of this formula in the dataset (meV per atom): 369.6
DFT formation energy (kJ per mole of atoms): -8
Energy (eV/atom): -3.436

Cell: 4.5629 4.5629 27.9140 Å, 90.00 90.00 120.00°
Space group R-3m (No. 166, hexagonal axes)
Asymmetric unit:
Pm 0.0000 0.0000 0.0000 [3 per cell]
Cd 0.0000 0.0000 0.5000 [3 per cell]
Bi 0.0000 0.0000 0.3998 [6 per cell]

---

Record 2
Crystalline Pm5Cd2Bi at its relaxed geometry. Source: Alexandria via LeMat-Bulk, functional GGA-PBE.

Values from the calculation:
Fermi-level density of states (states/eV per cell): 27.06
DFT formation energy (kJ per mole of atoms): -36
Energy (eV/atom): -4.054

Cell: 8.7097 8.7097 13.0137 Å, 90.00 90.00 90.00°
Space group I4/mcm (No. 140)
Asymmetric unit:
Pm 0.0000 0.0000 0.0000 [4 per cell]
Pm 0.1533 0.3467 0.1488 [16 per cell]
Cd 0.1409 0.3591 0.5000 [8 per cell]
Bi 0.0000 0.0000 0.2500 [4 per cell]

---

Record 3
Crystalline Pm2CdBi4 at its relaxed geometry. Source: Alexandria via LeMat-Bulk, functional GGA-PBE.

Values from the calculation:
Fermi-level density of states (states/eV per cell): 2.45
DFT formation energy (kJ per mole of atoms): -51
Energy (eV/atom): -4.233

Cell: 4.5841 4.5841 10.5087 Å, 90.00 90.00 90.00°
Space group P-4m2 (No. 115)
Asymmetric unit:
Pm 0.0000 0.5000 0.2438 [2 per cell]
Cd 0.0000 0.0000 0.5000 [1 per cell]
Bi 0.0000 0.0000 0.0000 [1 per cell]
Bi 0.0000 0.5000 0.6811 [2 per cell]
Bi 0.5000 0.5000 0.0000 [1 per cell]

---

Record 4
Crystalline PmCd2Bi4 at its relaxed geometry. Source: Alexandria via LeMat-Bulk, functional GGA-PBE.

Values from the calculation:
Fermi-level density of states (states/eV per cell): 8.26
DFT formation energy (kJ per mole of atoms): -21
Energy (eV/atom): -3.378

Cell: 8.9839 10.1073 4.7258 Å, 90.00 90.00 90.00°
Space group Cmmm (No. 65)
Asymmetric unit:
Pm 0.0000 0.0000 0.0000 [2 per cell]
Cd 0.0000 0.2523 0.5000 [4 per cell]
Bi 0.2234 0.5000 0.5000 [4 per cell]
Bi 0.2500 0.2500 0.0000 [4 per cell]

---

Record 5
Crystalline PmCdBi2 at its relaxed geometry. Source: Alexandria via LeMat-Bulk, functional GGA-PBE.

Values from the calculation:
Fermi-level density of states (states/eV per cell): 3.05
Excess energy over the best structure of this formula in the dataset (meV per atom): 56.7
DFT formation energy (kJ per mole of atoms): -38
Energy (eV/atom): -3.749

Cell: 4.2001 4.2001 6.7311 Å, 90.00 90.00 90.00°
Space group P4/mmm (No. 123)
Asymmetric unit:
Pm 0.0000 0.0000 0.0000 [1 per cell]
Cd 0.0000 0.0000 0.5000 [1 per cell]
Bi 0.5000 0.5000 0.2463 [2 per cell]

---

Record 6
Crystalline PmCdBi at its relaxed geometry. Source: Alexandria via LeMat-Bulk, functional GGA-PBE.

Values from the calculation:
Fermi-level density of states (states/eV per cell): 3.02
Excess energy over the best structure of this formula in the dataset (meV per atom): 337.5
DFT formation energy (kJ per mole of atoms): -9
Energy (eV/atom): -3.273

Cell: 3.4100 3.4100 17.2247 Å, 90.00 90.00 90.00°
Space group I4mm (No. 107)
Asymmetric unit:
Pm 0.0000 0.0000 0.0000 [2 per cell]
Cd 0.0000 0.0000 0.1829 [2 per cell]
Bi 0.0000 0.0000 0.3633 [2 per cell]

---

Record 7
Crystalline Pm2Cd16Bi at its relaxed geometry. Source: Alexandria via LeMat-Bulk, functional GGA-PBE.

Values from the calculation:
Fermi-level density of states (states/eV per cell): 16.63
DFT formation energy (kJ per mole of atoms): -13
Energy (eV/atom): -1.612

Cell: 10.3256 10.3256 14.6594 Å, 90.00 90.00 120.00°
Space group R3m (No. 160, hexagonal axes)
Asymmetric unit:
Pm 0.0000 0.0000 0.0000 [3 per cell]
Pm 0.0000 0.0000 0.3288 [3 per cell]
Cd 0.0000 0.0000 0.7704 [3 per cell]
Cd 0.0137 0.5069 0.8188 [9 per cell]
Cd 0.0185 0.3492 0.3309 [18 per cell]
Cd 0.1765 0.3529 0.5000 [9 per cell]
Cd 0.1768 0.3536 0.8406 [9 per cell]
Bi 0.0000 0.0000 0.5583 [3 per cell]

---

Record 8
Crystalline PmCdBiPt at its relaxed geometry. Source: Alexandria via LeMat-Bulk, functional GGA-PBE.

Values from the calculation:
Fermi-level density of states (states/eV per cell): 5.72
DFT formation energy (kJ per mole of atoms): -47
Energy (eV/atom): -4.384

Cell: 7.2791 7.2791 7.2791 Å, 90.00 90.00 90.00°
Space group F-43m (No. 216)
Asymmetric unit:
Pm 0.0000 0.0000 0.0000 [4 per cell]
Cd 0.2500 0.2500 0.7500 [4 per cell]
Bi 0.0000 0.0000 0.5000 [4 per cell]
Pt 0.2500 0.2500 0.2500 [4 per cell]

---

Record 9
Crystalline PmPuCdBi at its relaxed geometry. Source: Alexandria via LeMat-Bulk, functional GGA-PBE.

Values from the calculation:
Fermi-level density of states (states/eV per cell): 50.68
DFT formation energy (kJ per mole of atoms): -29
Energy (eV/atom): -6.273

Cell: 7.7412 7.7412 7.7412 Å, 90.00 90.00 90.00°
Space group F-43m (No. 216)
Asymmetric unit:
Pm 0.0000 0.0000 0.0000 [4 per cell]
Pu 0.0000 0.0000 0.5000 [4 per cell]
Cd 0.2500 0.2500 0.2500 [4 per cell]
Bi 0.2500 0.2500 0.7500 [4 per cell]

---

Record 10
Crystalline PmScCdBi at its relaxed geometry. Source: Alexandria via LeMat-Bulk, functional GGA-PBE.

Values from the calculation:
Fermi-level density of states (states/eV per cell): 17.63
DFT formation energy (kJ per mole of atoms): -36
Energy (eV/atom): -4.339

Cell: 7.5363 7.5363 7.5363 Å, 90.00 90.00 90.00°
Space group F-43m (No. 216)
Asymmetric unit:
Pm 0.0000 0.0000 0.0000 [4 per cell]
Sc 0.0000 0.0000 0.5000 [4 per cell]
Cd 0.2500 0.2500 0.7500 [4 per cell]
Bi 0.2500 0.2500 0.2500 [4 per cell]

---

Record 11
Crystalline SrPmCdBi at its relaxed geometry. Source: Alexandria via LeMat-Bulk, functional GGA-PBE.

Values from the calculation:
Fermi-level density of states (states/eV per cell): 18.70
DFT formation energy (kJ per mole of atoms): -44
Energy (eV/atom): -3.267

Cell: 7.9680 7.9680 7.9680 Å, 90.00 90.00 90.00°
Space group F-43m (No. 216)
Asymmetric unit:
Sr 0.0000 0.0000 0.0000 [4 per cell]
Pm 0.0000 0.0000 0.5000 [4 per cell]
Cd 0.2500 0.2500 0.7500 [4 per cell]
Bi 0.2500 0.2500 0.2500 [4 per cell]

---

Record 12
Crystalline TbPmCdBi at its relaxed geometry. Source: Alexandria via LeMat-Bulk, functional GGA-PBE.

Values from the calculation:
Fermi-level density of states (states/eV per cell): 13.78
DFT formation energy (kJ per mole of atoms): -44
Energy (eV/atom): -3.997

Cell: 7.7065 7.7065 7.7065 Å, 90.00 90.00 90.00°
Space group F-43m (No. 216)
Asymmetric unit:
Tb 0.0000 0.0000 0.0000 [4 per cell]
Pm 0.0000 0.0000 0.5000 [4 per cell]
Cd 0.2500 0.2500 0.2500 [4 per cell]
Bi 0.2500 0.2500 0.7500 [4 per cell]

---

Record 13
Crystalline PmTlCdBi at its relaxed geometry. Source: Alexandria via LeMat-Bulk, functional GGA-PBE.

Values from the calculation:
Fermi-level density of states (states/eV per cell): 11.04
DFT formation energy (kJ per mole of atoms): -22
Energy (eV/atom): -3.206

Cell: 7.8154 7.8154 7.8154 Å, 90.00 90.00 90.00°
Space group F-43m (No. 216)
Asymmetric unit:
Pm 0.0000 0.0000 0.0000 [4 per cell]
Tl 0.0000 0.0000 0.5000 [4 per cell]
Cd 0.2500 0.2500 0.7500 [4 per cell]
Bi 0.2500 0.2500 0.2500 [4 per cell]

---

Record 14
Crystalline PmTmCdBi at its relaxed geometry. Source: Alexandria via LeMat-Bulk, functional GGA-PBE.

Values from the calculation:
Fermi-level density of states (states/eV per cell): 17.41
DFT formation energy (kJ per mole of atoms): -40
Energy (eV/atom): -3.914

Cell: 7.6727 7.6727 7.6727 Å, 90.00 90.00 90.00°
Space group F-43m (No. 216)
Asymmetric unit:
Pm 0.0000 0.0000 0.0000 [4 per cell]
Tm 0.0000 0.0000 0.5000 [4 per cell]
Cd 0.2500 0.2500 0.2500 [4 per cell]
Bi 0.2500 0.2500 0.7500 [4 per cell]

---

Record 15
Crystalline PmYCdBi at its relaxed geometry. Source: Alexandria via LeMat-Bulk, functional GGA-PBE.

Values from the calculation:
Fermi-level density of states (states/eV per cell): 14.29
DFT formation energy (kJ per mole of atoms): -44
Energy (eV/atom): -4.462

Cell: 7.7043 7.7043 7.7043 Å, 90.00 90.00 90.00°
Space group F-43m (No. 216)
Asymmetric unit:
Pm 0.0000 0.0000 0.0000 [4 per cell]
Y 0.0000 0.0000 0.5000 [4 per cell]
Cd 0.2500 0.2500 0.7500 [4 per cell]
Bi 0.2500 0.2500 0.2500 [4 per cell]

---

Record 16
Crystalline Pr5CdBi2 at its relaxed geometry. Source: Alexandria via LeMat-Bulk, functional GGA-PBE.

Values from the calculation:
Fermi-level density of states (states/eV per cell): 32.54
DFT formation energy (kJ per mole of atoms): -28
Energy (eV/atom): -4.357

Cell: 6.0353 12.1239 15.1547 Å, 90.00 90.00 90.00°
Space group Cmcm (No. 63)
Asymmetric unit:
Pr 0.0000 0.0735 0.1021 [8 per cell]
Pr 0.0000 0.3760 0.0515 [8 per cell]
Pr 0.0000 0.4067 0.7500 [4 per cell]
Cd 0.0000 0.2914 0.2500 [4 per cell]
Bi 0.0000 0.1974 0.6143 [8 per cell]

---

Record 17
Crystalline PrCdBi3 at its relaxed geometry. Source: Alexandria via LeMat-Bulk, functional GGA-PBE.

Values from the calculation:
Fermi-level density of states (states/eV per cell): 9.61
DFT formation energy (kJ per mole of atoms): -35
Energy (eV/atom): -3.826

Cell: 14.2229 6.5499 6.5798 Å, 90.00 90.00 90.00°
Space group Pbcm (No. 57)
Asymmetric unit:
Pr 0.1816 0.0114 0.2500 [4 per cell]
Cd 0.3810 0.2500 0.0000 [4 per cell]
Bi 0.0000 0.2500 0.0000 [4 per cell]
Bi 0.2310 0.5186 0.2500 [4 per cell]
Bi 0.4189 0.6732 0.7500 [4 per cell]

---

Record 18
Crystalline PrCdBi at its relaxed geometry. Source: Alexandria via LeMat-Bulk, functional GGA-PBE.

Values from the calculation:
Fermi-level density of states (states/eV per cell): 16.82
Excess energy over the best structure of this formula in the dataset (meV per atom): 135.9
DFT formation energy (kJ per mole of atoms): -32
Energy (eV/atom): -3.523

Cell: 5.0888 5.0888 25.9287 Å, 90.00 90.00 120.00°
Space group R-3m (No. 166, hexagonal axes)
Asymmetric unit:
Pr 0.0000 0.0000 0.0730 [6 per cell]
Cd 0.0000 0.0000 0.3340 [6 per cell]
Bi 0.0000 0.0000 0.2040 [6 per cell]

---

Record 19
Crystalline Pr12Cd6Bi at its relaxed geometry. Source: Alexandria via LeMat-Bulk, functional GGA-PBE.

Values from the calculation:
Fermi-level density of states (states/eV per cell): 73.02
DFT formation energy (kJ per mole of atoms): -15
Energy (eV/atom): -3.668

Cell: 11.7842 11.7842 14.7973 Å, 90.00 90.00 120.00°
Space group R-3 (No. 148, hexagonal axes)
Asymmetric unit:
Pr 0.0621 0.8735 0.3115 [18 per cell]
Pr 0.0689 0.2211 0.9105 [18 per cell]
Cd 0.0312 0.5904 0.2056 [18 per cell]
Bi 0.0000 0.0000 0.5000 [3 per cell]

---

Record 20
Crystalline Pr7Cd2Bi2 at its relaxed geometry. Source: Alexandria via LeMat-Bulk, functional GGA-PBE.

Values from the calculation:
Fermi-level density of states (states/eV per cell): 32.54
DFT formation energy (kJ per mole of atoms): -10
Energy (eV/atom): -4.018

Cell: 10.0713 11.7411 6.8097 Å, 90.00 90.00 90.00°
Space group Cmmm (No. 65)
Asymmetric unit:
Pr 0.0000 0.0000 0.0000 [2 per cell]
Pr 0.0000 0.5000 0.2547 [4 per cell]
Pr 0.2500 0.2500 0.2625 [8 per cell]
Cd 0.0000 0.2718 0.0000 [4 per cell]
Bi 0.1898 0.0000 0.5000 [4 per cell]